Record 1
# LiAc2In4Hg3 | the Alexandria database | GGA-PBE | relaxed
data_LiAc2In4Hg3
_symmetry_space_group_name_H-M 'P -4 m 2'
_symmetry_Int_Tables_number 115
_symmetry_space_group_name_Hall 'P -4 -2'
_cell_length_a 4.7583
_cell_length_b 4.7583
_cell_length_c 12.1122
_cell_angle_alpha 90.00
_cell_angle_beta 90.00
_cell_angle_gamma 90.00
loop_
_atom_site_label
_atom_site_fract_x
_atom_site_fract_y
_atom_site_fract_z
_atom_site_occupancy
Li1 0.0000 0.0000 0.0000 1
Ac1 0.0000 0.5000 0.7524 1
In1 0.0000 0.0000 0.5000 1
In2 0.0000 0.5000 0.1265 1
In3 0.5000 0.5000 0.5000 1
Hg1 0.0000 0.5000 0.3557 1
Hg2 0.5000 0.5000 0.0000 1
# ρ = 9216 kg/m³
# E = -2.553 eV per atom
# DFT formation energy = -34.16 kJ per mole of atoms

---

Record 2
# BaCeHo4S8 | the Alexandria database | GGA-PBE | relaxed
data_BaCeHo4S8
_symmetry_space_group_name_H-M 'R 3 m'
_symmetry_Int_Tables_number 160
_symmetry_space_group_name_Hall 'R 3 -2"'
_cell_length_a 8.2184
_cell_length_b 8.2184
_cell_length_c 20.4993
_cell_angle_alpha 90.00
_cell_angle_beta 90.00
_cell_angle_gamma 120.00
loop_
_atom_site_label
_atom_site_fract_x
_atom_site_fract_y
_atom_site_fract_z
_atom_site_occupancy
Ba1 0.0000 0.0000 0.0000 1
Ce1 0.0000 0.0000 0.3733 1
Ho1 0.0000 0.0000 0.7489 1
Ho2 0.0040 0.5020 0.8743 1
S1 0.0000 0.0000 0.1421 1
S2 0.0000 0.0000 0.6171 1
S3 0.0114 0.5057 0.1297 1
S4 0.1889 0.3778 0.9478 1
# ρ = 4959 kg/m³
# E = -6.170 eV per atom

---

Record 3
# BiSeCl | the Alexandria database | GGA-PBE | relaxed
data_BiSeCl
_symmetry_space_group_name_H-M 'P -1'
_symmetry_Int_Tables_number 2
_symmetry_space_group_name_Hall '-P 1'
_cell_length_a 4.1433
_cell_length_b 7.2930
_cell_length_c 8.0394
_cell_angle_alpha 116.95
_cell_angle_beta 104.55
_cell_angle_gamma 90.01
loop_
_atom_site_label
_atom_site_fract_x
_atom_site_fract_y
_atom_site_fract_z
_atom_site_occupancy
Bi1 0.2466 0.2281 0.4929 1
Se1 0.3688 0.0416 0.7436 1
Cl1 0.1377 0.4671 0.2697 1
# ρ = 5169 kg/m³
# E = -3.739 eV per atom

---

Record 4
# YTa2As | the Alexandria database | GGA-PBE | relaxed
data_YTa2As
_symmetry_space_group_name_H-M 'P 1 2/m 1'
_symmetry_Int_Tables_number 10
_symmetry_space_group_name_Hall '-P 2y'
_cell_length_a 3.2238
_cell_length_b 5.0708
_cell_length_c 5.0639
_cell_angle_alpha 90.00
_cell_angle_beta 95.74
_cell_angle_gamma 90.00
loop_
_atom_site_label
_atom_site_fract_x
_atom_site_fract_y
_atom_site_fract_z
_atom_site_occupancy
Y1 0.0000 0.0000 0.0000 1
Ta1 0.3754 0.5000 0.7458 1
As1 0.5000 0.0000 0.5000 1
# ρ = 10599 kg/m³
# E = -8.647 eV per atom
# DFT formation energy = 5.59 kJ per mole of atoms